# Al5Se4

Al5Se4 after structural relaxation (PBE-GGA, Alexandria via LeMat-Bulk).

The density of states at the Fermi level comes out at 0.379 states/eV/atom. The value obtained for the formation energy (no corrections) is -2.33 eV per formula unit. The calculated density comes out at 3.61 g/cm3. Its energy relative to the lowest polymorph listed for this composition is 0.00 eV/f.u.

The structure belongs to space group I4/mmm (No. 139); the cell edges are 11.010, 11.010 and 3.418 Å and the angles 90.00°, 90.00° and 90.00°. The inequivalent atoms are Al at (0.000, 0.000, 0.000), Al at (0.177, 0.177, 0.500) and Se at (0.000, 0.239, 0.000).

---

# Ir3Pb

Ir3Pb after structural relaxation (PBE-GGA, Alexandria via LeMat-Bulk).

The density of states at the Fermi level comes out at 1.316 states/eV/atom. Its formation energy is 0.558 eV per atom. The calculated density comes out at 19.37 g/cm3.

The structure belongs to space group P4/mmm (No. 123); the cell edges are 4.826, 4.826 and 2.886 Å and the angles 90.00°, 90.00° and 90.00°. The inequivalent atoms are Ir at (0.000, 0.000, 0.000), Ir at (0.000, 0.500, 0.500) and Pb at (0.500, 0.500, 0.000).

---

# Pm2Nd8Sc3

Pm2Nd8Sc3 after structural relaxation (PBE-GGA, Alexandria via LeMat-Bulk).

The density of states at the Fermi level comes out at 1.556 states/eV/atom. Its formation energy is 0.049 eV per atom. The calculated density comes out at 6.22 g/cm3. Its energy relative to the lowest polymorph listed for this composition is 0.00 eV/f.u.

The structure belongs to space group P-1 (No. 2); the cell edges are 6.206, 6.223 and 11.260 Å and the angles 90.32°, 100.39° and 99.57°. The inequivalent atoms are Pm at (0.115, 0.268, 0.461), Nd at (0.045, 0.414, 0.145), Nd at (0.191, 0.121, 0.783), Nd at (0.347, 0.807, 0.377), Nd at (0.423, 0.661, 0.702), Sc at (0.280, 0.959, 0.072) and Sc at (0.500, 0.500, 0.000).

---

# BaInRe3

BaInRe3 after structural relaxation (PBE-GGA, Alexandria via LeMat-Bulk).

The density of states at the Fermi level comes out at 1.179 states/eV/atom. Its formation energy is 2.471 eV per atom. The calculated density comes out at 10.37 g/cm3. Its energy relative to the lowest polymorph listed for this composition is 0.00 eV/f.u.

The structure belongs to space group Pm-3m (No. 221); the cell edges are 5.064, 5.064 and 5.064 Å and the angles 90.00°, 90.00° and 90.00°. The inequivalent atoms are Ba at (0.000, 0.000, 0.000), In at (0.500, 0.500, 0.500) and Re at (0.000, 0.500, 0.500).

---

# Er2ZnAu

Er2ZnAu after structural relaxation (PBE-GGA, Alexandria via LeMat-Bulk).

The density of states at the Fermi level comes out at 0.639 states/eV/atom. Its formation energy is -0.624 eV per atom. The calculated density comes out at 11.07 g/cm3. Its energy relative to the lowest polymorph listed for this composition is 0.00 eV/f.u.

The structure belongs to space group P4/mmm (No. 123); the cell edges are 3.581, 3.581 and 6.984 Å and the angles 90.00°, 90.00° and 90.00°. The inequivalent atoms are Er at (0.000, 0.000, 0.249), Zn at (0.500, 0.500, 0.000) and Au at (0.500, 0.500, 0.500).

---

# Tb4PmY2

Tb4PmY2 after structural relaxation (PBE-GGA, Alexandria via LeMat-Bulk).

The density of states at the Fermi level comes out at 1.548 states/eV/atom. Its formation energy is 0.039 eV per atom. The calculated density comes out at 6.98 g/cm3. Its energy relative to the lowest polymorph listed for this composition is 0.00 eV/f.u.

The structure belongs to space group C2/m (No. 12); the cell edges are 16.818, 3.536 and 8.801 Å and the angles 90.00°, 119.40° and 90.00°. The inequivalent atoms are Tb at (0.142, 0.000, 0.336), Tb at (0.205, 0.000, 0.793), Pm at (0.000, 0.500, 0.500) and Y at (0.071, 0.500, 0.930).

---

# RePbNO2

RePbNO2 after structural relaxation (PBE-GGA, Alexandria via LeMat-Bulk).

The density of states at the Fermi level comes out at 0.652 states/eV/atom. The value obtained for the formation energy (no corrections) is 6.92 eV per formula unit. The calculated density comes out at 9.59 g/cm3.

The structure belongs to space group P4/mmm (No. 123); the cell edges are 4.153, 4.153 and 4.413 Å and the angles 90.00°, 90.00° and 90.00°. The inequivalent atoms are Re at (0.000, 0.000, 0.000), Pb at (0.500, 0.500, 0.500), N at (0.500, 0.500, 0.000) and O at (0.000, 0.500, 0.500).

---

# HgBiBr5

HgBiBr5 after structural relaxation (PBE-GGA, Alexandria via LeMat-Bulk).

The density of states at the Fermi level comes out at 0.000 states/eV/atom. The value obtained for the formation energy (no corrections) is -3.96 eV per formula unit. The calculated density comes out at 4.73 g/cm3. Its energy relative to the lowest polymorph listed for this composition is 0.00 eV/f.u.

The structure belongs to space group C2/c (No. 15); the cell edges are 10.937, 10.872 and 10.952 Å and the angles 90.00°, 119.25° and 90.00°. The inequivalent atoms are Hg at (0.000, 0.113, 0.250), Bi at (0.250, 0.250, 0.000), Br at (0.000, 0.328, 0.750), Br at (0.112, 0.296, 0.161) and Br at (0.191, 0.012, 0.485).

---

# LiMg2BiOs

LiMg2BiOs after structural relaxation (PBE-GGA, Alexandria via LeMat-Bulk).

The density of states at the Fermi level comes out at 0.769 states/eV/atom. Its formation energy is 0.671 eV per atom. The calculated density comes out at 7.77 g/cm3.

The structure belongs to space group P4/mmm (No. 123); the cell edges are 4.680, 4.680 and 4.436 Å and the angles 90.00°, 90.00° and 90.00°. The inequivalent atoms are Li at (0.000, 0.000, 0.000), Mg at (0.000, 0.500, 0.000), Bi at (0.500, 0.500, 0.500) and Os at (0.000, 0.000, 0.500).

---

# CeYPt6

CeYPt6 after structural relaxation (PBE-GGA, Alexandria via LeMat-Bulk).

The density of states at the Fermi level comes out at 0.365 states/eV/atom. Its formation energy is -1.013 eV per atom. The calculated density comes out at 16.28 g/cm3. Its energy relative to the lowest polymorph listed for this composition is 0.00 eV/f.u.

The structure belongs to space group P4/mmm (No. 123); the cell edges are 4.150, 4.150 and 8.286 Å and the angles 90.00°, 90.00° and 90.00°. The inequivalent atoms are Ce at (0.000, 0.000, 0.000), Y at (0.000, 0.000, 0.500), Pt at (0.000, 0.500, 0.248), Pt at (0.500, 0.500, 0.000) and Pt at (0.500, 0.500, 0.500).

---

# YTaS2N

YTaS2N after structural relaxation (PBE-GGA, Alexandria via LeMat-Bulk).

The density of states at the Fermi level comes out at 0.664 states/eV/atom. The value obtained for the formation energy (no corrections) is 3.31 eV per formula unit. The calculated density comes out at 5.27 g/cm3. Its energy relative to the lowest polymorph listed for this composition is 8.19 eV/f.u.

The structure belongs to space group P4/mmm (No. 123); the cell edges are 5.137, 5.137 and 4.156 Å and the angles 90.00°, 90.00° and 90.00°. The inequivalent atoms are Y at (0.000, 0.000, 0.000), Ta at (0.500, 0.500, 0.500), S at (0.000, 0.500, 0.000) and N at (0.000, 0.000, 0.500).

---

# LuPuSnAu

LuPuSnAu after structural relaxation (PBE-GGA, Alexandria via LeMat-Bulk).

The density of states at the Fermi level comes out at 2.648 states/eV/atom. Its formation energy is -0.511 eV per atom. The calculated density comes out at 12.22 g/cm3.

The structure belongs to space group F-43m (No. 216); the cell edges are 7.364, 7.364 and 7.364 Å and the angles 90.00°, 90.00° and 90.00°. The inequivalent atoms are Lu at (0.000, 0.000, 0.000), Pu at (0.000, 0.000, 0.500), Sn at (0.250, 0.250, 0.750) and Au at (0.250, 0.250, 0.250).

---

# AlCdMo2

AlCdMo2 after structural relaxation (PBE-GGA, Alexandria via LeMat-Bulk).

The density of states at the Fermi level comes out at 0.750 states/eV/atom. Its formation energy is 0.374 eV per atom. The calculated density comes out at 8.28 g/cm3. Its energy relative to the lowest polymorph listed for this composition is 1.09 eV/f.u.

The structure belongs to space group P4/mmm (No. 123); the cell edges are 4.885, 4.885 and 2.783 Å and the angles 90.00°, 90.00° and 90.00°. The inequivalent atoms are Al at (0.000, 0.000, 0.000), Cd at (0.500, 0.500, 0.000) and Mo at (0.000, 0.500, 0.500).

---

# Th3CoTe

Th3CoTe after structural relaxation (PBE-GGA, Alexandria via LeMat-Bulk).

The density of states at the Fermi level comes out at 1.057 states/eV/atom. The value obtained for the formation energy (no corrections) is -2.63 eV per formula unit. The calculated density comes out at 10.38 g/cm3.

The structure belongs to space group P2_1/m (No. 11); the cell edges are 6.900, 4.061 and 10.083 Å and the angles 90.00°, 91.50° and 90.00°. The inequivalent atoms are Th at (0.064, 0.250, 0.360), Th at (0.305, 0.750, 0.094), Th at (0.421, 0.750, 0.645), Co at (0.316, 0.750, 0.371) and Te at (0.186, 0.250, 0.853).

---

# MgCrCl4

MgCrCl4 after structural relaxation (PBE-GGA, Alexandria via LeMat-Bulk).

The value obtained for the formation energy (no corrections) is -8.32 eV per formula unit. The calculated density comes out at 2.36 g/cm3. Its energy relative to the lowest polymorph listed for this composition is 0.00 eV/f.u.

The structure belongs to space group C2/c (No. 15); the cell edges are 16.255, 3.769 and 12.548 Å and the angles 90.00°, 127.02° and 90.00°. The inequivalent atoms are Mg at (0.000, 0.050, 0.250), Cr at (0.000, 0.500, 0.000), Cl at (0.102, 0.453, 0.919) and Cl at (0.109, 0.086, 0.175).

---

# CeSm2TcN4

CeSm2TcN4 after structural relaxation (PBE-GGA, Alexandria via LeMat-Bulk).

The density of states at the Fermi level comes out at 0.701 states/eV/atom. The value obtained for the formation energy (no corrections) is -7.94 eV per formula unit. The calculated density comes out at 8.08 g/cm3.

The structure belongs to space group Cmcm (No. 63); the cell edges are 3.482, 11.784 and 11.911 Å and the angles 90.00°, 90.00° and 90.00°. The inequivalent atoms are Ce at (0.000, 0.117, 0.250), Sm at (0.000, 0.368, 0.043), Tc at (0.000, 0.145, 0.750), N at (0.000, 0.000, 0.000), N at (0.000, 0.271, 0.635) and N at (0.000, 0.442, 0.250).

---

# KPtRh3

KPtRh3 after structural relaxation (PBE-GGA, Alexandria via LeMat-Bulk).

The density of states at the Fermi level comes out at 1.196 states/eV/atom. Its formation energy is 1.051 eV per atom. The calculated density comes out at 7.58 g/cm3. Its energy relative to the lowest polymorph listed for this composition is 0.00 eV/f.u.

The structure belongs to space group Pm-3m (No. 221); the cell edges are 4.918, 4.918 and 4.918 Å and the angles 90.00°, 90.00° and 90.00°. The inequivalent atoms are K at (0.000, 0.000, 0.000), Pt at (0.500, 0.500, 0.500) and Rh at (0.000, 0.500, 0.500).

---

# PrBeGe

PrBeGe after structural relaxation (PBE-GGA, Alexandria via LeMat-Bulk).

The density of states at the Fermi level comes out at 0.560 states/eV/atom. Its formation energy is -0.539 eV per atom. The calculated density comes out at 6.09 g/cm3.

The structure belongs to space group Pmmm (No. 47); the cell edges are 4.006, 4.315 and 7.024 Å and the angles 90.00°, 90.00° and 90.00°. The inequivalent atoms are Pr at (0.000, 0.000, 0.000), Pr at (0.500, 0.000, 0.500), Be at (0.000, 0.500, 0.342) and Ge at (0.500, 0.500, 0.181).

---

# BeSe3

BeSe3 after structural relaxation (PBE-GGA, Alexandria via LeMat-Bulk).

The density of states at the Fermi level comes out at 0.938 states/eV/atom. The value obtained for the formation energy (no corrections) is 2.82 eV per formula unit. The calculated density comes out at 5.68 g/cm3. Its energy relative to the lowest polymorph listed for this composition is 3.06 eV/f.u.

The structure belongs to space group Fm-3m (No. 225); the cell edges are 6.599, 6.599 and 6.599 Å and the angles 90.00°, 90.00° and 90.00°. The inequivalent atoms are Be at (0.000, 0.000, 0.000), Se at (0.000, 0.000, 0.500) and Se at (0.250, 0.250, 0.250).

---

# LaAuSe

LaAuSe after structural relaxation (PBE-GGA, Alexandria via LeMat-Bulk).

The density of states at the Fermi level comes out at 0.361 states/eV/atom. The value obtained for the formation energy (no corrections) is -2.96 eV per formula unit. The calculated density comes out at 8.15 g/cm3. Its energy relative to the lowest polymorph listed for this composition is 1.25 eV/f.u.

The structure belongs to space group F-43m (No. 216); the cell edges are 6.967, 6.967 and 6.967 Å and the angles 90.00°, 90.00° and 90.00°. The inequivalent atoms are La at (0.000, 0.000, 0.000), Au at (0.250, 0.250, 0.750) and Se at (0.000, 0.000, 0.500).

---

Let's list total DFT energy (no corrections) in order: -3.887; -7.015; -5.077; -5.930; -4.043; -5.133; -5.495; -2.358; -3.372; -7.094; -6.318; -7.044; -6.206; -7.027; -4.487; -8.372; -4.788; -4.913; -2.840; -4.882 eV per atom.